VASP calculation (GGA-PBE) on a relaxed SrFe2W crystal.

Unit cell a=6.4516 b=6.4516 c=6.4516 alpha=90.00 beta=90.00 gamma=90.00
Last column: nearest neighbours and their distance in Å.
Space group F-43m (No. 216)
One atom of each set of equivalent atoms:
Sr  0.0000  0.0000  0.0000 [4 per cell]  4 Fe 2.79, 4 W 2.79
Fe  0.0000  0.0000  0.5000 [4 per cell]  4 W 2.79, 4 Fe 2.79
Fe  0.2500  0.2500  0.2500 [4 per cell]  4 Fe 2.79, 4 Sr 2.79
W  0.2500  0.2500  0.7500 [4 per cell]  4 Fe 2.79, 4 Sr 2.79

**ΔE_f**: 1.217 eV per atom
**Distance to the lowest polymorph of the same formula**: 0.7095 eV per atom

=====

VASP calculation (GGA-PBE) on a relaxed Mg5Tl2Pd12 crystal.

Unit cell a=13.1490 b=7.9681 c=6.1877 alpha=90.00 beta=93.91 gamma=90.00
Last column: nearest neighbours and their distance in Å.
Space group C2/m (No. 12)
One atom of each set of equivalent atoms:
Mg  0.0000  0.0000  0.0000 [2 per cell]  6 Pd 2.63-2.92
Mg  0.1614  0.5000  0.4204 [4 per cell]  9 Pd 2.73-2.90, 1 Mg 3.05
Mg  0.2458  0.0000  0.0175 [4 per cell]  7 Pd 2.62-2.79
Tl  0.0000  0.2179  0.5000 [4 per cell]  8 Pd 2.77-2.97
Pd  0.0461  0.5000  0.7714 [4 per cell]  3 Mg 2.73-2.95, 6 Pd 2.74-2.95, 2 Tl 2.85
Pd  0.1030  0.2762  0.0940 [8 per cell]  3 Mg 2.63-2.79, 6 Pd 2.74-2.88
Pd  0.1484  0.0000  0.3723 [4 per cell]  3 Mg 2.62-2.92, 2 Tl 2.77, 4 Pd 2.83-2.84
Pd  0.1996  0.2385  0.7031 [8 per cell]  4 Mg 2.75-2.78, 6 Pd 2.81-2.95, 1 Tl 2.84

**ΔE_f**: -0.449 eV per atom

=====

VASP calculation (GGA-PBE) on a relaxed ZnBiIr crystal.

Unit cell a=4.2795 b=4.2795 c=8.1626 alpha=90.00 beta=90.00 gamma=120.00
Last column: nearest neighbours and their distance in Å.
Space group P3m1 (No. 156)
One atom of each set of equivalent atoms:
Zn  0.0000  0.0000  0.0000 [1 per cell]  6 Ir 2.57-2.72
Zn  0.3333  0.6667  0.2185 [1 per cell]  4 Ir 2.50-2.55
Bi  0.0000  0.0000  0.3806 [1 per cell]  4 Zn 2.80-3.11
Bi  0.6667  0.3333  0.7453 [1 per cell]  3 Ir 2.82
Ir  0.3333  0.6667  0.9125 [1 per cell]  4 Zn 2.50-2.57
Ir  0.6667  0.3333  0.1408 [1 per cell]  6 Zn 2.55-2.72

**ΔE_f**: 0.044 eV per atom
**Distance to the lowest polymorph of the same formula**: 0.0910 eV per atom

=====

VASP calculation (GGA-PBE) on a relaxed LiTeO3 crystal.

Unit cell a=3.6080 b=3.6080 c=3.6080 alpha=90.00 beta=90.00 gamma=90.00
Last column: nearest neighbours and their distance in Å.
Space group Pm-3m (No. 221)
One atom of each set of equivalent atoms:
Li  0.0000  0.0000  0.0000 [1 per cell]  6 O 1.80
Te  0.5000  0.5000  0.5000 [1 per cell]  12 O 2.55
O  0.0000  0.0000  0.5000 [3 per cell]  2 Li 1.80

**E_form (uncorrected)**: -1.42 eV per formula unit

=====

VASP calculation (GGA-PBE) on a relaxed Er8CoTe2 crystal.

Unit cell a=14.3958 b=7.4844 c=6.1704 alpha=90.00 beta=102.62 gamma=90.00
Last column: nearest neighbours and their distance in Å.
Space group C2/m (No. 12)
One atom of each set of equivalent atoms:
Er  0.0791  0.2419  0.3014 [8 per cell]  1 Co 2.67
Er  0.1156  0.5000  0.8497 [4 per cell]  1 Te 3.02, 2 Er 3.36
Er  0.1523  0.0000  0.8627 [4 per cell]  1 Co 2.52
Co  0.0000  0.0000  0.0000 [2 per cell]  6 Er 2.52-2.67
Te  0.2449  0.5000  0.5240 [4 per cell]  6 Er 3.02-3.14

**E_form (uncorrected)**: -3.99 eV per formula unit

=====

VASP calculation (GGA-PBE) on a relaxed CeY4 crystal.

Unit cell a=5.5319 b=5.5319 c=5.5319 alpha=90.00 beta=90.00 gamma=90.00
Last column: nearest neighbours and their distance in Å.
Space group Pm-3m (No. 221)
One atom of each set of equivalent atoms:
Ce  0.0000  0.0000  0.0000 [1 per cell]  6 Y 2.77
Y  0.0000  0.0000  0.5000 [3 per cell]  2 Ce 2.77
Y  0.5000  0.5000  0.5000 [1 per cell]  12 Y 3.91

**ΔE_f**: 0.584 eV per atom
**Distance to the lowest polymorph of the same formula**: 0.5328 eV per atom

=====

VASP calculation (GGA-PBE) on a relaxed Ho2Tm2Al crystal.

Unit cell a=4.1993 b=4.1993 c=17.2202 alpha=90.00 beta=90.00 gamma=90.00
Last column: nearest neighbours and their distance in Å.
Space group I4/mmm (No. 139)
One atom of each set of equivalent atoms:
Ho  0.0000  0.5000  0.2500 [4 per cell]  4 Ho 2.97
Tm  0.0000  0.0000  0.0885 [4 per cell]  1 Tm 3.05, 4 Al 3.34
Al  0.0000  0.0000  0.5000 [2 per cell]  8 Tm 3.34

**ΔE_f**: 0.426 eV per atom
**Distance to the lowest polymorph of the same formula**: 0.5633 eV per atom

=====

VASP calculation (GGA-PBE) on a relaxed MnAgAu2 crystal.

Unit cell a=3.1027 b=3.1027 c=7.1971 alpha=90.00 beta=90.00 gamma=90.00
Last column: nearest neighbours and their distance in Å.
Space group P4/mmm (No. 123)
One atom of each set of equivalent atoms:
Mn  0.0000  0.0000  0.0000 [1 per cell]  8 Au 2.75
Ag  0.0000  0.0000  0.5000 [1 per cell]  8 Au 2.93, 4 Ag 3.10
Au  0.5000  0.5000  0.2311 [2 per cell]  4 Mn 2.75, 4 Ag 2.93

**ΔE_f**: -0.051 eV per atom

=====

VASP calculation (GGA-PBE) on a relaxed Sm4Th3S8 crystal.

Unit cell a=11.3316 b=11.3468 c=8.0192 alpha=90.00 beta=134.90 gamma=90.00
Last column: nearest neighbours and their distance in Å.
Space group C2/m (No. 12)
One atom of each set of equivalent atoms:
Sm  0.0000  0.0000  0.0000 [2 per cell]  6 S 2.82-2.83
Sm  0.0000  0.0000  0.5000 [2 per cell]  6 S 2.85-2.87
Sm  0.2500  0.2500  0.0000 [4 per cell]  6 S 2.83-2.84
Th  0.0000  0.5000  0.0000 [2 per cell]  6 S 2.83-2.85
Th  0.2500  0.2500  0.5000 [4 per cell]  6 S 2.83-2.84
S  0.0000  0.2484  0.0000 [4 per cell]  3 Sm 2.82-2.83, 3 Th 2.84-2.85
S  0.0000  0.2518  0.5000 [4 per cell]  2 Th 2.83, 3 Sm 2.84-2.86
S  0.2482  0.5000  0.5024 [4 per cell]  2 Sm 2.83-2.87, 3 Th 2.84-2.85
S  0.2490  0.5000  0.9981 [4 per cell]  1 Th 2.83, 4 Sm 2.83-2.85

**E_form (uncorrected)**: -29.53 eV per formula unit

=====

VASP calculation (GGA-PBE) on a relaxed TaAg8 crystal.

Unit cell a=9.1259 b=9.1259 c=3.8742 alpha=90.00 beta=90.00 gamma=90.00
Last column: nearest neighbours and their distance in Å.
Space group I4/mmm (No. 139)
One atom of each set of equivalent atoms:
Ta  0.0000  0.0000  0.0000 [2 per cell]  12 Ag 2.87-3.02
Ag  0.0000  0.3313  0.0000 [8 per cell]  11 Ag 2.89-3.08, 1 Ta 3.02
Ag  0.1636  0.1636  0.5000 [8 per cell]  2 Ta 2.87, 10 Ag 2.89-3.07

**ΔE_f**: 0.259 eV per atom

=====

VASP calculation (GGA-PBE) on a relaxed Ac2BeSiO crystal.

Unit cell a=6.5130 b=4.0328 c=8.8423 alpha=90.00 beta=109.30 gamma=90.00
Last column: nearest neighbours and their distance in Å.
Space group P2_1/m (No. 11)
One atom of each set of equivalent atoms:
Ac  0.2125  0.2500  0.4000 [2 per cell]  2 O 2.79
Ac  0.2251  0.2500  0.9603 [2 per cell]  3 O 2.57-2.85
Be  0.4496  0.7500  0.2431 [2 per cell]  1 O 1.60
Si  0.3485  0.7500  0.7112 [2 per cell]  2 Be 2.37
O  0.1900  0.7500  0.1778 [2 per cell]  1 Be 1.60

**E_form (uncorrected)**: -6.60 eV per formula unit

=====

VASP calculation (GGA-PBE) on a relaxed Rb5HgIO2 crystal.

Unit cell a=5.6093 b=5.6093 c=11.1293 alpha=90.00 beta=90.00 gamma=90.00
Last column: nearest neighbours and their distance in Å.
Space group P4/mmm (No. 123)
One atom of each set of equivalent atoms:
Rb  0.0000  0.0000  0.0000 [1 per cell]  2 O 2.76
Rb  0.0000  0.5000  0.2682 [4 per cell]  2 O 2.81
Hg  0.0000  0.0000  0.5000 [1 per cell]  2 O 2.80
I  0.5000  0.5000  0.0000 [1 per cell]  12 Rb 3.97-4.10
O  0.0000  0.0000  0.2482 [2 per cell]  5 Rb 2.76-2.81, 1 Hg 2.80

**E_form (uncorrected)**: -7.97 eV per formula unit

=====

VASP calculation (GGA-PBE) on a relaxed LaFeCoB2 crystal.

Unit cell a=3.6755 b=3.6755 c=9.9811 alpha=90.00 beta=90.00 gamma=90.00
Last column: nearest neighbours and their distance in Å.
Space group I-4m2 (No. 119)
One atom of each set of equivalent atoms:
La  0.0000  0.0000  0.0000 [2 per cell]  4 Fe 3.10, 4 Co 3.10, 10 B 3.13-3.25
Fe  0.0000  0.5000  0.2500 [2 per cell]  4 B 1.99
Co  0.0000  0.5000  0.7500 [2 per cell]  4 B 1.99
B  0.0000  0.0000  0.3258 [4 per cell]  2 Fe 1.99, 2 Co 1.99

**ΔE_f**: -0.433 eV per atom

=====

VASP calculation (GGA-PBE) on a relaxed Sr2AcPuSe4 crystal.

Unit cell a=7.5734 b=4.3730 c=7.6488 alpha=90.00 beta=109.35 gamma=90.00
Last column: nearest neighbours and their distance in Å.
Space group P2/m (No. 10)
One atom of each set of equivalent atoms:
Sr  0.0000  0.0000  0.0000 [1 per cell]  6 Se 3.16-3.17
Sr  0.5000  0.5000  0.0000 [1 per cell]  6 Se 3.09
Ac  0.0000  0.5000  0.5000 [1 per cell]  6 Se 3.12
Pu  0.5000  0.0000  0.5000 [1 per cell]  6 Se 3.04-3.05
Se  0.2573  0.0000  0.7484 [2 per cell]  1 Pu 3.05, 3 Sr 3.09-3.16, 2 Ac 3.12
Se  0.2616  0.5000  0.2592 [2 per cell]  2 Pu 3.04, 3 Sr 3.09-3.17, 1 Ac 3.12

**E_form (uncorrected)**: -14.63 eV per formula unit

=====

VASP calculation (GGA-PBE) on a relaxed La2Fe2S5 crystal.

Unit cell a=3.9595 b=16.6126 c=10.9104 alpha=90.00 beta=90.00 gamma=90.00
Last column: nearest neighbours and their distance in Å.
Space group Cmc2_1 (No. 36)
One atom of each set of equivalent atoms:
La  0.0000  0.1118  0.0000 [4 per cell]  8 S 2.93-3.06
La  0.0000  0.1270  0.3816 [4 per cell]  8 S 2.91-3.15
Fe  0.0000  0.1947  0.6907 [4 per cell]  6 S 2.50-2.65, 2 Fe 2.56
Fe  0.0000  0.4019  0.1664 [4 per cell]  5 S 2.29-2.39, 2 Fe 2.56
S  0.0000  0.0387  0.7422 [4 per cell]  2 Fe 2.36
S  0.0000  0.2930  0.0378 [4 per cell]  1 Fe 2.29
S  0.0000  0.3107  0.3359 [4 per cell]  3 Fe 2.39-2.54
S  0.0000  0.3454  0.6903 [4 per cell]  1 Fe 2.50
S  0.0000  0.4816  0.9911 [4 per cell]  1 Fe 2.33

**E_form (uncorrected)**: -11.88 eV per formula unit

=====

VASP calculation (GGA-PBE) on a relaxed Y2MgP crystal.

Unit cell a=7.2316 b=7.2316 c=7.2316 alpha=90.00 beta=90.00 gamma=90.00
Last column: nearest neighbours and their distance in Å.
Space group F-43m (No. 216)
One atom of each set of equivalent atoms:
Y  0.0000  0.0000  0.0000 [4 per cell]  4 Y 3.13, 4 P 3.13
Y  0.2500  0.2500  0.2500 [4 per cell]  4 Mg 3.13, 4 Y 3.13
Mg  0.0000  0.0000  0.5000 [4 per cell]  4 Y 3.13, 4 P 3.13
P  0.2500  0.2500  0.7500 [4 per cell]  4 Mg 3.13, 4 Y 3.13

**ΔE_f**: 0.134 eV per atom
**Distance to the lowest polymorph of the same formula**: 0.9115 eV per atom

=====

VASP calculation (GGA-PBE) on a relaxed Gd2CoRu crystal.

Unit cell a=3.4233 b=3.4233 c=6.7390 alpha=90.00 beta=90.00 gamma=90.00
Last column: nearest neighbours and their distance in Å.
Space group P4/mmm (No. 123)
One atom of each set of equivalent atoms:
Gd  0.0000  0.0000  0.2479 [2 per cell]  4 Co 2.94, 4 Ru 2.96
Co  0.5000  0.5000  0.0000 [1 per cell]  8 Gd 2.94
Ru  0.5000  0.5000  0.5000 [1 per cell]  8 Gd 2.96

**ΔE_f**: -0.191 eV per atom

=====

VASP calculation (GGA-PBE) on a relaxed SrTa2Re crystal.

Unit cell a=4.8931 b=4.8931 c=3.2320 alpha=90.00 beta=90.00 gamma=90.00
Last column: nearest neighbours and their distance in Å.
Space group P4/mmm (No. 123)
One atom of each set of equivalent atoms:
Sr  0.0000  0.0000  0.0000 [1 per cell]  8 Ta 2.93, 2 Sr 3.23
Ta  0.0000  0.5000  0.5000 [2 per cell]  4 Re 2.93, 4 Sr 2.93, 2 Ta 3.23
Re  0.5000  0.5000  0.0000 [1 per cell]  8 Ta 2.93, 2 Re 3.23

**ΔE_f**: 1.037 eV per atom
**Distance to the lowest polymorph of the same formula**: 0.5600 eV per atom

=====

VASP calculation (GGA-PBE) on a relaxed NbInPS2 crystal.

Unit cell a=4.8201 b=4.8201 c=4.9961 alpha=90.00 beta=90.00 gamma=90.00
Last column: nearest neighbours and their distance in Å.
Space group P4/mmm (No. 123)
One atom of each set of equivalent atoms:
Nb  0.0000  0.0000  0.0000 [1 per cell]  4 S 2.41, 2 P 2.50
In  0.5000  0.5000  0.5000 [1 per cell]  4 P 3.41, 8 S 3.47
P  0.0000  0.0000  0.5000 [1 per cell]  2 Nb 2.50
S  0.0000  0.5000  0.0000 [2 per cell]  2 Nb 2.41

**E_form (uncorrected)**: -1.10 eV per formula unit
**Distance to the lowest polymorph of the same formula**: 0.0000 eV per atom

=====

VASP calculation (GGA-PBE) on a relaxed FePCS2 crystal.

Unit cell a=4.0199 b=4.0199 c=3.8433 alpha=90.00 beta=90.00 gamma=90.00
Last column: nearest neighbours and their distance in Å.
Space group P4/mmm (No. 123)
One atom of each set of equivalent atoms:
Fe  0.0000  0.0000  0.0000 [1 per cell]  8 S 2.78, 4 P 2.84
P  0.5000  0.5000  0.0000 [1 per cell]  2 C 1.92
C  0.5000  0.5000  0.5000 [1 per cell]  2 P 1.92, 4 S 2.01
S  0.0000  0.5000  0.5000 [2 per cell]  2 C 2.01

**E_form (uncorrected)**: 6.85 eV per formula unit
**Distance to the lowest polymorph of the same formula**: 0.0000 eV per atom

=====

no.,VASP energy (Ha/atom)
1,-0.24523
2,-0.16159
3,-0.17009
4,-0.15689
5,-0.18002
6,-0.21218
7,-0.14486
8,-0.17254
9,-0.25402
10,-0.13203
11,-0.21259
12,-0.10036
13,-0.26471
14,-0.23138
15,-0.24211
16,-0.17821
17,-0.41624
18,-0.30950
19,-0.20266
20,-0.18007